#one
The following is a DFT calculation (PBE-GGA) of NaNiSb2Te after structural relaxation.

- total moment (μB per formula unit) = 0.000

Cell lengths 4.9486, 4.9486, 5.6308 Å; angles 90.00, 90.00, 90.00 degrees
With the nearest neighbours (Å) after each atom.
Positions (direct):
Na (0.0000, 0.0000, 0.0000)  4 Te 3.50, 8 Sb 3.75
Ni (0.5000, 0.5000, 0.5000)  4 Sb 2.47
Sb (0.0000, 0.5000, 0.5000)  2 Ni 2.47
Sb (0.5000, 0.0000, 0.5000)  2 Ni 2.47
Te (0.5000, 0.5000, 0.0000)  2 Ni 2.82

***

#two
The following is a DFT calculation (PBE-GGA) of NaNiSb2Te after structural relaxation.

- total moment (μB per formula unit) = 0.676

Cell lengths 5.3132, 5.3132, 5.3689 Å; angles 90.00, 90.00, 90.00 degrees
With the nearest neighbours (Å) after each atom.
Positions (direct):
Na (0.0000, 0.0000, 0.0000)  4 Sb 2.66, 2 Te 2.68
Ni (0.5000, 0.5000, 0.5000)  4 Te 3.76, 8 Sb 3.78
Sb (0.0000, 0.5000, 0.0000)  2 Na 2.66
Sb (0.5000, 0.0000, 0.0000)  2 Na 2.66
Te (0.0000, 0.0000, 0.5000)  2 Na 2.68

***

Most stable structure, least stable structure: #one, #two.

***

#one
The following is a DFT calculation (PBE-GGA) of NaScNi2 after structural relaxation.

- total moment (μB per formula unit) = 0.000

Cell lengths 5.6568, 5.6568, 5.6568 Å; angles 103.67, 103.67, 121.83 degrees
With the nearest neighbours (Å) after each atom.
Positions (direct):
Na (0.0000, 0.0000, 0.0000)  4 Ni 2.63, 2 Sc 2.75
Na (0.7500, 0.2500, 0.5000)  4 Ni 2.63, 2 Sc 2.75
Sc (0.2500, 0.7500, 0.5000)  4 Ni 2.50, 2 Na 2.75
Sc (0.5000, 0.5000, 0.0000)  4 Ni 2.50, 2 Na 2.75
Ni (0.1393, 0.6250, 0.0143)  2 Sc 2.50, 2 Na 2.63, 2 Ni 2.76
Ni (0.3750, 0.3893, 0.5143)  2 Sc 2.50, 2 Na 2.63, 2 Ni 2.76
Ni (0.6107, 0.1250, 0.9857)  2 Sc 2.50, 2 Na 2.63, 2 Ni 2.76
Ni (0.8750, 0.8607, 0.4857)  2 Sc 2.50, 2 Na 2.63, 2 Ni 2.76

***

#two
The following is a DFT calculation (PBE-GGA) of NaScNi2 after structural relaxation.

- total moment (μB per formula unit) = 0.000

Cell lengths 4.4820, 4.4820, 4.4820 Å; angles 60.00, 60.00, 60.00 degrees
With the nearest neighbours (Å) after each atom.
Positions (direct):
Na (0.0000, 0.0000, 0.0000)  8 Ni 2.74
Sc (0.5000, 0.5000, 0.5000)  8 Ni 2.74
Ni (0.2500, 0.2500, 0.2500)  4 Na 2.74, 4 Sc 2.74
Ni (0.7500, 0.7500, 0.7500)  4 Na 2.74, 4 Sc 2.74

***

Most stable structure, least stable structure: #two, #one.

***

#one
The following is a DFT calculation (PBE-GGA) of NaSc3Ni after structural relaxation.

- total moment (μB per formula unit) = 2.702

Cell lengths 5.0449, 5.0449, 5.0449 Å; angles 90.00, 90.00, 90.00 degrees
With the nearest neighbours (Å) after each atom.
Positions (direct):
Na (0.0000, 0.0000, 0.0000)  6 Sc 2.52
Sc (0.0000, 0.0000, 0.5000)  2 Na 2.52
Sc (0.0000, 0.5000, 0.0000)  2 Na 2.52
Sc (0.5000, 0.0000, 0.0000)  2 Na 2.52
Ni (0.5000, 0.5000, 0.5000)  12 Sc 3.57

***

#two
The following is a DFT calculation (PBE-GGA) of NaSc3Ni after structural relaxation.

- total moment (μB per formula unit) = 0.000

Cell lengths 5.0112, 5.0112, 5.0112 Å; angles 90.00, 90.00, 90.00 degrees
With the nearest neighbours (Å) after each atom.
Positions (direct):
Na (0.0000, 0.0000, 0.0000)  12 Sc 3.54
Sc (0.0000, 0.5000, 0.5000)  2 Ni 2.51
Sc (0.5000, 0.0000, 0.5000)  2 Ni 2.51
Sc (0.5000, 0.5000, 0.0000)  2 Ni 2.51
Ni (0.5000, 0.5000, 0.5000)  6 Sc 2.51

***

Most stable structure, least stable structure: #two, #one.

***

#one
The following is a DFT calculation (PBE-GGA) of Na2ScNi after structural relaxation.

- total moment (μB per formula unit) = 0.325

Cell lengths 4.9183, 4.9183, 4.9183 Å; angles 60.00, 60.00, 60.00 degrees
With the nearest neighbours (Å) after each atom.
Positions (direct):
Na (0.2500, 0.2500, 0.2500)  4 Ni 3.01, 4 Sc 3.01
Na (0.7500, 0.7500, 0.7500)  4 Ni 3.01, 4 Sc 3.01
Sc (0.0000, 0.0000, 0.0000)  8 Na 3.01
Ni (0.5000, 0.5000, 0.5000)  8 Na 3.01

***

#two
The following is a DFT calculation (PBE-GGA) of Na2ScNi after structural relaxation.

- total moment (μB per formula unit) = 0.000

Cell lengths 11.9137, 11.9137, 11.9137 Å; angles 161.45, 161.45, 26.35 degrees
With the nearest neighbours (Å) after each atom.
Positions (direct):
Na (0.1050, 0.6250, 0.9800)  4 Na 2.61-2.83
Na (0.3750, 0.3550, 0.4800)  4 Na 2.61-2.83
Na (0.6450, 0.1250, 0.0200)  4 Na 2.61-2.83
Na (0.8750, 0.8950, 0.5200)  4 Na 2.61-2.83
Sc (0.2500, 0.7500, 0.5000)  4 Ni 2.72
Sc (0.5000, 0.5000, 0.0000)  4 Ni 2.72
Ni (0.0000, 0.0000, 0.0000)  4 Sc 2.72
Ni (0.7500, 0.2500, 0.5000)  4 Sc 2.72

***

Most stable structure, least stable structure: #two, #one.

***

#one
The following is a DFT calculation (PBE-GGA) of NaNi3Se3 after structural relaxation.

- total moment (μB per formula unit) = 0.000

Cell lengths 8.3032, 8.3032, 4.3572 Å; angles 90.00, 90.00, 120.00 degrees
With the nearest neighbours (Å) after each atom.
Positions (direct):
Na (0.3333, 0.6667, 0.2500)  9 Se 3.21-3.37, 3 Ni 3.25
Na (0.6667, 0.3333, 0.7500)  9 Se 3.21-3.37, 3 Ni 3.25
Ni (0.0530, 0.8333, 0.2500)  4 Se 2.34-2.42
Ni (0.1667, 0.2197, 0.2500)  4 Se 2.34-2.42
Ni (0.2197, 0.0530, 0.7500)  4 Se 2.34-2.42
Ni (0.7803, 0.9470, 0.2500)  4 Se 2.34-2.42
Ni (0.8333, 0.7803, 0.7500)  4 Se 2.34-2.42
Ni (0.9470, 0.1667, 0.7500)  4 Se 2.34-2.42
Se (0.0847, 0.7265, 0.7500)  4 Ni 2.34-2.42
Se (0.2735, 0.3582, 0.7500)  4 Ni 2.34-2.42
Se (0.3582, 0.0847, 0.2500)  4 Ni 2.34-2.42
Se (0.6418, 0.9153, 0.7500)  4 Ni 2.34-2.42
Se (0.7265, 0.6418, 0.2500)  4 Ni 2.34-2.42
Se (0.9153, 0.2735, 0.2500)  4 Ni 2.34-2.42

***

#two
The following is a DFT calculation (PBE-GGA) of NaNi3Se3 after structural relaxation.

- total moment (μB per formula unit) = 0.000

Cell lengths 6.5833, 6.5833, 6.5833 Å; angles 90.00, 90.00, 90.00 degrees
With the nearest neighbours (Å) after each atom.
Positions (direct):
Na (0.0000, 0.0000, 0.0000)  12 Se 3.68, 12 Ni 3.68
Na (0.5000, 0.5000, 0.5000)  12 Se 3.68, 12 Ni 3.68
Ni (0.0000, 0.2500, 0.5000)  4 Se 2.33
Ni (0.0000, 0.7500, 0.5000)  4 Se 2.33
Ni (0.2500, 0.5000, 0.0000)  4 Se 2.33
Ni (0.5000, 0.0000, 0.2500)  4 Se 2.33
Ni (0.5000, 0.0000, 0.7500)  4 Se 2.33
Ni (0.7500, 0.5000, 0.0000)  4 Se 2.33
Se (0.0000, 0.5000, 0.2500)  4 Ni 2.33
Se (0.0000, 0.5000, 0.7500)  4 Ni 2.33
Se (0.2500, 0.0000, 0.5000)  4 Ni 2.33
Se (0.5000, 0.2500, 0.0000)  4 Ni 2.33
Se (0.5000, 0.7500, 0.0000)  4 Ni 2.33
Se (0.7500, 0.0000, 0.5000)  4 Ni 2.33

***

Most stable structure, least stable structure: #one, #two.

***

#one
The following is a DFT calculation (PBE-GGA) of NaSi2Ni2 after structural relaxation.

- total moment (μB per formula unit) = 0.000

Cell lengths 5.7506, 5.7506, 5.7506 Å; angles 140.87, 140.87, 56.53 degrees
With the nearest neighbours (Å) after each atom.
Positions (direct):
Na (0.0000, 0.0000, 0.0000)  8 Ni 3.01, 8 Si 3.18
Si (0.2500, 0.7500, 0.5000)  4 Ni 2.30
Si (0.7500, 0.2500, 0.5000)  4 Ni 2.30
Ni (0.3745, 0.3745, 0.0000)  4 Si 2.30, 1 Ni 2.54
Ni (0.6255, 0.6255, 0.0000)  4 Si 2.30, 1 Ni 2.54

***

#two
The following is a DFT calculation (PBE-GGA) of NaSi2Ni2 after structural relaxation.

- total moment (μB per formula unit) = 0.000

Cell lengths 5.5482, 5.5482, 5.5482 Å; angles 138.35, 138.35, 60.37 degrees
With the nearest neighbours (Å) after each atom.
Positions (direct):
Na (0.0000, 0.0000, 0.0000)  8 Si 3.04, 8 Ni 3.11
Si (0.3731, 0.3731, 0.0000)  4 Ni 2.30, 1 Si 2.44
Si (0.6269, 0.6269, 0.0000)  4 Ni 2.30, 1 Si 2.44
Ni (0.2500, 0.7500, 0.5000)  4 Si 2.30
Ni (0.7500, 0.2500, 0.5000)  4 Si 2.30

***

#three
The following is a DFT calculation (PBE-GGA) of NaSi2Ni2 after structural relaxation.

- total moment (μB per formula unit) = 0.000

Cell lengths 7.2069, 7.2069, 2.5098 Å; angles 90.00, 90.00, 90.00 degrees
With the nearest neighbours (Å) after each atom.
Positions (direct):
Na (0.0000, 0.0000, 0.0000)  2 Na 2.51
Na (0.5000, 0.5000, 0.0000)  2 Na 2.51
Si (0.1315, 0.3685, 0.0000)  6 Ni 2.46, 3 Si 2.51-2.68
Si (0.3685, 0.8685, 0.0000)  6 Ni 2.46, 3 Si 2.51-2.68
Si (0.6315, 0.1315, 0.0000)  6 Ni 2.46, 3 Si 2.51-2.68
Si (0.8685, 0.6315, 0.0000)  6 Ni 2.46, 3 Si 2.51-2.68
Ni (0.1607, 0.6607, 0.5000)  6 Si 2.46, 2 Ni 2.51
Ni (0.3393, 0.1607, 0.5000)  6 Si 2.46, 2 Ni 2.51
Ni (0.6607, 0.8393, 0.5000)  6 Si 2.46, 2 Ni 2.51
Ni (0.8393, 0.3393, 0.5000)  6 Si 2.46, 2 Ni 2.51

***

Most stable structure, least stable structure: #two, #one.